[1]
# GaCu14Si | the Alexandria database | GGA-PBE | optimized geometry
data_GaCu14Si
_chemical_formula_sum 'Ga1 Cu14 Si1'
_symmetry_space_group_name_H-M 'P 1'
_symmetry_Int_Tables_number 1
_cell_length_a 5.172
_cell_length_b 5.172
_cell_length_c 8.309
_cell_angle_alpha 90.00
_cell_angle_beta 90.00
_cell_angle_gamma 118.67
loop_
_symmetry_equiv_pos_as_xyz
'x,y,z'
loop_
_atom_site_label
_atom_site_type_symbol
_atom_site_fract_x
_atom_site_fract_y
_atom_site_fract_z
Ga1 Ga 0.044 0.956 0.500
Cu1 Cu 0.205 0.795 0.000
Cu2 Cu 0.704 0.296 0.000
Cu3 Cu 0.042 0.454 0.500
Cu4 Cu 0.206 0.297 0.000
Cu5 Cu 0.546 0.958 0.500
Cu6 Cu 0.703 0.794 0.000
Cu7 Cu 0.378 0.127 0.751
Cu8 Cu 0.378 0.127 0.249
Cu9 Cu 0.873 0.622 0.751
Cu10 Cu 0.873 0.622 0.249
Cu11 Cu 0.376 0.624 0.749
Cu12 Cu 0.376 0.624 0.251
Cu13 Cu 0.875 0.125 0.755
Cu14 Cu 0.875 0.125 0.245
Si1 Si 0.544 0.456 0.500
# D(E_F), states/eV/f.u.: 6.0
# Energy, eV/atom: -4.1236



[2]
# GaCu3Si | the Alexandria database | GGA-PBE | optimized geometry
data_GaCu3Si
_chemical_formula_sum 'Ga1 Cu3 Si1'
_symmetry_space_group_name_H-M 'P 1'
_symmetry_Int_Tables_number 1
_cell_length_a 4.468
_cell_length_b 4.468
_cell_length_c 4.468
_cell_angle_alpha 90.00
_cell_angle_beta 90.00
_cell_angle_gamma 90.00
loop_
_symmetry_equiv_pos_as_xyz
'x,y,z'
loop_
_atom_site_label
_atom_site_type_symbol
_atom_site_fract_x
_atom_site_fract_y
_atom_site_fract_z
Si1 Si 0.000 0.000 0.000
Cu1 Cu 0.000 0.500 0.000
Cu2 Cu 0.000 0.000 0.500
Cu3 Cu 0.500 0.000 0.000
Ga1 Ga 0.500 0.500 0.500
# D(E_F), states/eV/f.u.: 1.0
# Relative energy among the computed polymorphs, meV per atom: 316.4



[3]
# GaCu2Si | the Alexandria database | GGA-PBE | optimized geometry
data_GaCu2Si
_chemical_formula_sum 'Ga1 Cu2 Si1'
_symmetry_space_group_name_H-M 'P 1'
_symmetry_Int_Tables_number 1
_cell_length_a 2.981
_cell_length_b 2.981
_cell_length_c 6.292
_cell_angle_alpha 90.00
_cell_angle_beta 90.00
_cell_angle_gamma 90.00
loop_
_symmetry_equiv_pos_as_xyz
'x,y,z'
loop_
_atom_site_label
_atom_site_type_symbol
_atom_site_fract_x
_atom_site_fract_y
_atom_site_fract_z
Si1 Si 0.500 0.500 0.000
Cu1 Cu 0.000 0.000 0.771
Cu2 Cu 0.000 0.000 0.229
Ga1 Ga 0.500 0.500 0.500
# D(E_F), states/eV/f.u.: 1.8
# Relative energy among the computed polymorphs, meV per atom: 93.5